[1]
# NaNdTe (PBE, relaxed)
# DFT total energy = -3.442 eV/atom
data_NaNdTe
_chemical_formula_sum 'Na4 Nd4 Te4'
_cell_length_a 7.438
_cell_length_b 7.438
_cell_length_c 7.438
_cell_angle_alpha 90.00
_cell_angle_beta 90.00
_cell_angle_gamma 90.00
_space_group_name_H-M_alt 'F -4 3 m'
_space_group_IT_number 216
_space_group_name_Hall 'F -4 2 3'
loop_
_atom_site_label
_atom_site_fract_x
_atom_site_fract_y
_atom_site_fract_z
_atom_site_occupancy
Na1 0.000 0.000 0.000 1
Nd1 0.250 0.250 0.250 1
Te1 0.000 0.000 0.500 1

***

[2]
# Na2Nd2Th (PBE, relaxed)
# DFT total energy = -3.274 eV/atom
data_Na2Nd2Th
_chemical_formula_sum 'Na4 Nd4 Th2'
_cell_length_a 10.200
_cell_length_b 10.200
_cell_length_c 3.157
_cell_angle_alpha 90.00
_cell_angle_beta 90.00
_cell_angle_gamma 90.00
_space_group_name_H-M_alt 'P 4/m b m'
_space_group_IT_number 127
_space_group_name_Hall '-P 4 2ab'
loop_
_atom_site_label
_atom_site_fract_x
_atom_site_fract_y
_atom_site_fract_z
_atom_site_occupancy
Na1 0.101 0.399 0.000 1
Nd1 0.197 0.697 0.000 1
Th1 0.000 0.000 0.500 1

***

[3]
# NaNdTl2 (PBE, relaxed)
# DFT total energy = -2.982 eV/atom
data_NaNdTl2
_chemical_formula_sum 'Na1 Nd1 Tl2'
_cell_length_a 5.362
_cell_length_b 5.362
_cell_length_c 3.982
_cell_angle_alpha 90.00
_cell_angle_beta 90.00
_cell_angle_gamma 90.00
_space_group_name_H-M_alt 'P 4/m m m'
_space_group_IT_number 123
_space_group_name_Hall '-P 4 2'
loop_
_atom_site_label
_atom_site_fract_x
_atom_site_fract_y
_atom_site_fract_z
_atom_site_occupancy
Na1 0.000 0.000 0.000 1
Nd1 0.500 0.500 0.000 1
Tl1 0.000 0.500 0.500 1

***

[4]
# NaNdTm (PBE, relaxed)
# DFT total energy = -2.727 eV/atom
data_NaNdTm
_chemical_formula_sum 'Na4 Nd4 Tm4'
_cell_length_a 7.548
_cell_length_b 7.548
_cell_length_c 7.548
_cell_angle_alpha 90.00
_cell_angle_beta 90.00
_cell_angle_gamma 90.00
_space_group_name_H-M_alt 'F -4 3 m'
_space_group_IT_number 216
_space_group_name_Hall 'F -4 2 3'
loop_
_atom_site_label
_atom_site_fract_x
_atom_site_fract_y
_atom_site_fract_z
_atom_site_occupancy
Na1 0.000 0.000 0.000 1
Nd1 0.250 0.250 0.750 1
Tm1 0.250 0.250 0.250 1

***

[5]
# NaNdW (PBE, relaxed)
# DFT total energy = -4.530 eV/atom
data_NaNdW
_chemical_formula_sum 'Na4 Nd4 W4'
_cell_length_a 7.028
_cell_length_b 7.028
_cell_length_c 7.028
_cell_angle_alpha 90.00
_cell_angle_beta 90.00
_cell_angle_gamma 90.00
_space_group_name_H-M_alt 'F -4 3 m'
_space_group_IT_number 216
_space_group_name_Hall 'F -4 2 3'
loop_
_atom_site_label
_atom_site_fract_x
_atom_site_fract_y
_atom_site_fract_z
_atom_site_occupancy
Na1 0.000 0.000 0.000 1
Nd1 0.250 0.250 0.250 1
W1 0.000 0.000 0.500 1

***

[6]
# NaNdW (PBE, relaxed)
# DFT total energy = -4.738 eV/atom
data_NaNdW
_chemical_formula_sum 'Na4 Nd4 W4'
_cell_length_a 7.050
_cell_length_b 7.050
_cell_length_c 7.050
_cell_angle_alpha 90.00
_cell_angle_beta 90.00
_cell_angle_gamma 90.00
_space_group_name_H-M_alt 'F -4 3 m'
_space_group_IT_number 216
_space_group_name_Hall 'F -4 2 3'
loop_
_atom_site_label
_atom_site_fract_x
_atom_site_fract_y
_atom_site_fract_z
_atom_site_occupancy
Na1 0.000 0.000 0.000 1
Nd1 0.000 0.000 0.500 1
W1 0.250 0.250 0.250 1